[1]
The following is a PBE calculation of a relaxed structure of BaReTe2I, from Alexandria via LeMat-Bulk.

Lattice parameters (Å, degrees): 5.331 5.331 5.798 90.00 90.00 90.00
Fractional coordinates of all 5 atoms:
1 I 0.000 0.000 0.500
2 Re 0.000 0.000 0.000
3 Te 0.000 0.500 0.000
4 Te 0.500 0.000 0.000
5 Ba 0.500 0.500 0.500

Values from the calculation:
D(E_F): 4.386 states/eV/cell
E above lowest polymorph: 0 meV/atom
Calculated density: 7.111 g/cm³
Formation energy from raw total energies: -172 meV per atom

[2]
The following is a PBE calculation of a relaxed structure of Ba2VReI, from Alexandria via LeMat-Bulk.

Lattice parameters (Å, degrees): 6.472 5.102 6.472 90.00 90.00 90.00
Fractional coordinates of all 5 atoms:
1 I 0.000 0.000 0.000
2 Re 0.500 0.500 0.500
3 Ba 0.000 0.000 0.500
4 Ba 0.500 0.000 0.000
5 V 0.000 0.500 0.000

Values from the calculation:
D(E_F): 7.850 states/eV/cell
Calculated density: 4.963 g/cm³
Formation energy from raw total energies: 1338 meV per atom

[3]
The following is a PBE calculation of a relaxed structure of Ba2RhI, from Alexandria via LeMat-Bulk.

Lattice parameters (Å, degrees): 5.760 5.760 5.760 60.00 60.00 60.00
Fractional coordinates of all 4 atoms:
1 I 0.500 0.500 0.500
2 Rh 0.000 0.000 0.000
3 Ba 0.250 0.250 0.250
4 Ba 0.750 0.750 0.750

Values from the calculation:
D(E_F): 0.000 states/eV/cell
E above lowest polymorph: 230 meV/atom
Calculated density: 6.199 g/cm³
Formation energy from raw total energies: -550 meV per atom

[4]
The following is a PBE calculation of a relaxed structure of Ba5RhI4, from Alexandria via LeMat-Bulk.

Lattice parameters (Å, degrees): 7.041 8.638 8.638 80.44 65.95 65.95
Fractional coordinates of all 10 atoms:
1 Ba 0.908 0.346 0.841
2 Ba 0.254 0.841 0.654
3 Ba 0.748 0.159 0.346
4 Ba 0.094 0.654 0.159
5 Ba 0.501 0.000 0.000
6 Rh 0.001 0.000 0.000
7 I 0.415 0.401 0.770
8 I 0.817 0.770 0.599
9 I 0.185 0.230 0.401
10 I 0.587 0.599 0.230

Values from the calculation:
D(E_F): 8.765 states/eV/cell
Calculated density: 4.917 g/cm³
Formation energy from raw total energies: -1117 meV per atom

[5]
The following is a PBE calculation of a relaxed structure of BaRhI, from Alexandria via LeMat-Bulk.

Lattice parameters (Å, degrees): 4.885 9.316 4.622 75.52 90.00 89.98
Fractional coordinates of all 6 atoms:
1 I 0.866 0.627 0.308
2 I 0.865 0.051 0.600
3 Rh 0.365 0.164 0.543
4 Rh 0.865 0.335 0.456
5 Ba 0.365 0.401 0.923
6 Ba 0.365 0.932 0.160

Values from the calculation:
D(E_F): 1.226 states/eV/cell
Calculated density: 5.986 g/cm³
Formation energy from raw total energies: -645 meV per atom

[6]
The following is a PBE calculation of a relaxed structure of Ba3RhI2, from Alexandria via LeMat-Bulk.

Lattice parameters (Å, degrees): 8.291 8.282 9.017 81.06 71.91 59.96
Fractional coordinates of all 12 atoms:
1 Ba 0.444 0.624 0.792
2 Ba 0.306 0.000 0.203
3 Ba 0.556 0.376 0.208
4 Ba 0.932 0.624 0.208
5 Ba 0.068 0.376 0.792
6 Ba 0.694 0.000 0.797
7 Rh 0.668 0.664 0.000
8 Rh 0.332 0.336 0.000
9 I 0.000 0.000 0.000
10 I 0.500 0.000 0.500
11 I 0.154 0.692 0.500
12 I 0.846 0.308 0.500

Values from the calculation:
D(E_F): 9.186 states/eV/cell
E above lowest polymorph: 0 meV/atom
Calculated density: 5.011 g/cm³
Formation energy from raw total energies: -1015 meV per atom

[7]
The following is a PBE calculation of a relaxed structure of BaRhI, from Alexandria via LeMat-Bulk.

Lattice parameters (Å, degrees): 4.350 8.638 6.425 86.51 70.23 75.42
Fractional coordinates of all 6 atoms:
1 I 0.057 0.293 0.219
2 I 0.571 0.638 0.845
3 Rh 0.532 0.925 0.638
4 Rh 0.031 0.047 0.518
5 Ba 0.324 0.317 0.662
6 Ba 0.801 0.936 0.089

Values from the calculation:
D(E_F): 3.991 states/eV/cell
Calculated density: 5.549 g/cm³
Formation energy from raw total energies: -647 meV per atom

[8]
The following is a PBE calculation of a relaxed structure of BaRh2I, from Alexandria via LeMat-Bulk.

Lattice parameters (Å, degrees): 5.053 5.053 5.053 60.00 60.00 60.00
Fractional coordinates of all 4 atoms:
1 I 0.000 0.000 0.000
2 Rh 0.250 0.250 0.250
3 Rh 0.750 0.750 0.750
4 Ba 0.500 0.500 0.500

Values from the calculation:
D(E_F): 7.112 states/eV/cell
E above lowest polymorph: 421 meV/atom
Calculated density: 8.554 g/cm³
Formation energy from raw total energies: 298 meV per atom

[9]
The following is a PBE calculation of a relaxed structure of Ba3RhI2, from Alexandria via LeMat-Bulk.

Lattice parameters (Å, degrees): 6.811 9.125 9.041 104.61 112.13 90.00
Fractional coordinates of all 12 atoms:
1 Ba 0.501 0.250 0.000
2 Ba 0.499 0.750 0.000
3 Ba 0.127 0.064 0.254
4 Ba 0.873 0.436 0.746
5 Ba 0.127 0.564 0.254
6 Ba 0.873 0.936 0.746
7 Rh 0.000 0.750 0.000
8 Rh 0.000 0.250 0.000
9 I 0.685 0.592 0.370
10 I 0.685 0.092 0.370
11 I 0.315 0.908 0.630
12 I 0.315 0.408 0.630

Values from the calculation:
D(E_F): 7.133 states/eV/cell
E above lowest polymorph: 14 meV/atom
Calculated density: 5.098 g/cm³
Formation energy from raw total energies: -1001 meV per atom

[10]
The following is a PBE calculation of a relaxed structure of BaRhI, from Alexandria via LeMat-Bulk.

Lattice parameters (Å, degrees): 5.656 4.001 13.327 90.00 90.00 134.98
Fractional coordinates of all 6 atoms:
1 Rh 0.612 0.223 0.000
2 Rh 0.611 0.221 0.500
3 I 0.611 0.222 0.695
4 I 0.611 0.222 0.305
5 Ba 0.111 0.222 0.142
6 Ba 0.111 0.222 0.858

Values from the calculation:
D(E_F): 6.980 states/eV/cell
Calculated density: 5.715 g/cm³
Formation energy from raw total energies: -173 meV per atom

[11]
The following is a PBE calculation of a relaxed structure of BaRhI, from Alexandria via LeMat-Bulk.

Lattice parameters (Å, degrees): 7.057 4.536 7.488 127.26 90.07 89.86
Fractional coordinates of all 6 atoms:
1 I 0.584 0.301 0.588
2 I 0.969 0.804 0.088
3 Rh 0.276 0.053 0.338
4 Rh 0.276 0.553 0.838
5 Ba 0.508 0.301 0.088
6 Ba 0.045 0.803 0.588

Values from the calculation:
D(E_F): 0.972 states/eV/cell
Calculated density: 6.392 g/cm³
Formation energy from raw total energies: -707 meV per atom

[12]
The following is a PBE calculation of a relaxed structure of BaRhI, from Alexandria via LeMat-Bulk.

Lattice parameters (Å, degrees): 4.833 8.053 6.414 88.52 90.36 127.25
Fractional coordinates of all 6 atoms:
1 I 0.728 0.524 0.023
2 I 0.119 0.952 0.451
3 Rh 0.444 0.239 0.738
4 Rh 0.123 0.420 0.919
5 Ba 0.123 0.422 0.451
6 Ba 0.654 0.952 0.920

Values from the calculation:
D(E_F): 0.547 states/eV/cell
Calculated density: 6.138 g/cm³
Formation energy from raw total energies: -665 meV per atom

[13]
The following is a PBE calculation of a relaxed structure of Ba4RhI6, from Alexandria via LeMat-Bulk.

Lattice parameters (Å, degrees): 8.166 11.231 11.231 90.00 90.00 90.00
Fractional coordinates of all 22 atoms:
1 Ba 0.344 0.000 0.244
2 Ba 0.844 0.744 0.500
3 Ba 0.844 0.256 0.500
4 Ba 0.344 0.000 0.756
5 Ba 0.156 0.500 0.744
6 Ba 0.656 0.244 0.000
7 Ba 0.656 0.756 0.000
8 Ba 0.156 0.500 0.256
9 Rh 0.000 0.500 0.500
10 Rh 0.500 0.000 0.000
11 I 0.500 0.704 0.296
12 I 0.500 0.296 0.296
13 I 0.105 0.000 0.500
14 I 0.605 0.000 0.500
15 I 0.500 0.296 0.704
16 I 0.500 0.704 0.704
17 I 0.000 0.796 0.796
18 I 0.000 0.204 0.796
19 I 0.895 0.500 0.000
20 I 0.395 0.500 0.000
21 I 0.000 0.796 0.204
22 I 0.000 0.204 0.204

Values from the calculation:
D(E_F): 13.109 states/eV/cell
Calculated density: 4.558 g/cm³
Formation energy from raw total energies: -1311 meV per atom

[14]
The following is a PBE calculation of a relaxed structure of Ba3Rh5I12, from Alexandria via LeMat-Bulk.

Lattice parameters (Å, degrees): 15.504 15.504 15.504 109.47 109.47 109.47
Fractional coordinates of all 80 atoms:
1 Ba 0.750 0.375 0.125
2 Ba 0.875 0.750 0.125
3 Ba 0.375 0.750 0.625
4 Ba 0.250 0.125 0.375
5 Ba 0.875 0.125 0.250
6 Ba 0.375 0.625 0.250
7 Ba 0.625 0.375 0.750
8 Ba 0.125 0.875 0.750
9 Ba 0.750 0.875 0.625
10 Ba 0.625 0.250 0.375
11 Ba 0.125 0.250 0.875
12 Ba 0.250 0.625 0.875
13 Rh 0.125 0.375 0.250
14 Rh 0.000 0.500 0.000
15 Rh 0.000 0.000 0.000
16 Rh 0.375 0.250 0.125
17 Rh 0.500 0.000 0.500
18 Rh 0.500 0.500 0.000
19 Rh 0.125 0.750 0.375
20 Rh 0.750 0.125 0.875
21 Rh 0.750 0.625 0.375
22 Rh 0.375 0.125 0.750
23 Rh 0.625 0.875 0.250
24 Rh 0.500 0.500 0.500
25 Rh 0.500 0.000 0.000
26 Rh 0.000 0.000 0.500
27 Rh 0.250 0.375 0.625
28 Rh 0.250 0.875 0.125
29 Rh 0.000 0.500 0.500
30 Rh 0.875 0.250 0.625
31 Rh 0.625 0.750 0.875
32 Rh 0.875 0.625 0.750
33 I 0.693 0.109 0.017
34 I 0.324 0.517 0.407
35 I 0.983 0.391 0.307
36 I 0.517 0.193 0.109
37 I 0.584 0.693 0.676
38 I 0.983 0.593 0.176
39 I 0.324 0.807 0.416
40 I 0.093 0.916 0.109
41 I 0.593 0.983 0.676
42 I 0.693 0.584 0.176
43 I 0.807 0.483 0.391
44 I 0.824 0.907 0.017
45 I 0.109 0.693 0.517
46 I 0.391 0.407 0.084
47 I 0.084 0.907 0.391
48 I 0.416 0.109 0.593
49 I 0.084 0.176 0.193
50 I 0.483 0.676 0.093
51 I 0.824 0.916 0.307
52 I 0.109 0.416 0.093
53 I 0.391 0.983 0.807
54 I 0.593 0.609 0.416
55 I 0.907 0.824 0.517
56 I 0.807 0.324 0.916
57 I 0.407 0.391 0.584
58 I 0.093 0.176 0.483
59 I 0.193 0.676 0.084
60 I 0.176 0.084 0.693
61 I 0.609 0.017 0.193
62 I 0.891 0.584 0.907
63 I 0.517 0.324 0.907
64 I 0.584 0.891 0.407
65 I 0.916 0.824 0.807
66 I 0.916 0.093 0.609
67 I 0.891 0.307 0.483
68 I 0.176 0.093 0.983
69 I 0.609 0.593 0.916
70 I 0.407 0.017 0.324
71 I 0.307 0.416 0.824
72 I 0.193 0.517 0.609
73 I 0.907 0.084 0.891
74 I 0.676 0.193 0.584
75 I 0.483 0.807 0.891
76 I 0.017 0.407 0.824
77 I 0.416 0.307 0.324
78 I 0.017 0.609 0.693
79 I 0.676 0.483 0.593
80 I 0.307 0.891 0.983

Values from the calculation:
D(E_F): 46.950 states/eV/cell
Calculated density: 5.671 g/cm³
Formation energy from raw total energies: -577 meV per atom

[15]
The following is a PBE calculation of a relaxed structure of BaRhI, from Alexandria via LeMat-Bulk.

Lattice parameters (Å, degrees): 11.160 4.709 7.158 90.00 90.00 90.00
Fractional coordinates of all 12 atoms:
1 I 0.836 0.250 0.779
2 I 0.664 0.750 0.279
3 I 0.164 0.750 0.221
4 I 0.336 0.250 0.721
5 Rh 0.180 0.250 0.420
6 Rh 0.320 0.750 0.920
7 Rh 0.820 0.750 0.580
8 Rh 0.680 0.250 0.080
9 Ba 0.910 0.250 0.295
10 Ba 0.590 0.750 0.795
11 Ba 0.090 0.750 0.705
12 Ba 0.410 0.250 0.205

Values from the calculation:
D(E_F): 0.006 states/eV/cell
Calculated density: 6.482 g/cm³
Formation energy from raw total energies: -547 meV per atom

[16]
The following is a PBE calculation of a relaxed structure of BaRhI, from Alexandria via LeMat-Bulk.

Lattice parameters (Å, degrees): 4.652 4.652 9.246 90.00 90.00 120.00
Fractional coordinates of all 6 atoms:
1 I 0.333 0.667 0.250
2 I 0.667 0.333 0.750
3 Rh 0.333 0.667 0.750
4 Rh 0.667 0.333 0.250
5 Ba 0.000 0.000 0.000
6 Ba 0.000 0.000 0.500

Values from the calculation:
D(E_F): 0.642 states/eV/cell
Calculated density: 7.036 g/cm³
Formation energy from raw total energies: -623 meV per atom

[17]
The following is a PBE calculation of a relaxed structure of Ba2RhI, from Alexandria via LeMat-Bulk.

Lattice parameters (Å, degrees): 4.632 4.630 8.892 105.12 90.00 120.01
Fractional coordinates of all 4 atoms:
1 Ba 0.233 0.465 0.197
2 Ba 0.767 0.535 0.803
3 Rh 0.500 0.000 0.000
4 I 0.000 0.000 0.500

Values from the calculation:
D(E_F): 3.163 states/eV/cell
E above lowest polymorph: 0 meV/atom
Calculated density: 5.321 g/cm³
Formation energy from raw total energies: -780 meV per atom

[18]
The following is a PBE calculation of a relaxed structure of BaRhI2, from Alexandria via LeMat-Bulk.

Lattice parameters (Å, degrees): 5.649 5.649 5.649 60.00 60.00 60.00
Fractional coordinates of all 4 atoms:
1 I 0.250 0.250 0.250
2 I 0.750 0.750 0.750
3 Rh 0.000 0.000 0.000
4 Ba 0.500 0.500 0.500

Values from the calculation:
D(E_F): 6.230 states/eV/cell
E above lowest polymorph: 122 meV/atom
Calculated density: 6.436 g/cm³
Formation energy from raw total energies: -387 meV per atom

[19]
The following is a PBE calculation of a relaxed structure of BaRhI, from Alexandria via LeMat-Bulk.

Lattice parameters (Å, degrees): 5.510 5.510 6.012 90.00 90.00 90.00
Fractional coordinates of all 6 atoms:
1 I 0.000 0.000 0.500
2 I 0.500 0.500 0.500
3 Rh 0.000 0.500 0.306
4 Rh 0.500 0.000 0.694
5 Ba 0.000 0.500 0.859
6 Ba 0.500 0.000 0.141

Values from the calculation:
D(E_F): 2.897 states/eV/cell
Calculated density: 6.680 g/cm³
Formation energy from raw total energies: -251 meV per atom

[20]
The following is a PBE calculation of a relaxed structure of BaRh2I, from Alexandria via LeMat-Bulk.

Lattice parameters (Å, degrees): 5.293 5.293 9.315 73.50 73.50 90.00
Fractional coordinates of all 8 atoms:
1 I 0.500 0.500 0.000
2 I 0.250 0.750 0.500
3 Rh 0.423 0.125 0.250
4 Rh 0.327 0.625 0.250
5 Rh 0.375 0.577 0.750
6 Rh 0.875 0.673 0.750
7 Ba 0.000 0.000 0.000
8 Ba 0.750 0.250 0.500

Values from the calculation:
D(E_F): 3.254 states/eV/cell
E above lowest polymorph: 0 meV/atom
Calculated density: 6.532 g/cm³
Formation energy from raw total energies: -122 meV per atom

[21]
The following is a PBE calculation of a relaxed structure of Ba4RhI4, from Alexandria via LeMat-Bulk.

Lattice parameters (Å, degrees): 4.780 8.959 10.842 74.64 77.27 74.53
Fractional coordinates of all 9 atoms:
1 Ba 0.326 0.088 0.260
2 Ba 0.674 0.912 0.740
3 Ba 0.923 0.253 0.901
4 Ba 0.077 0.747 0.099
5 Rh 0.500 0.000 0.000
6 I 0.703 0.401 0.192
7 I 0.885 0.813 0.416
8 I 0.297 0.599 0.808
9 I 0.115 0.187 0.584

Values from the calculation:
D(E_F): 4.026 states/eV/cell
Calculated density: 4.522 g/cm³
Formation energy from raw total energies: -1280 meV per atom